Density functional theory data (GGA-PBE) for crystalline Dy4HgI5 at its relaxed geometry.

Summary:
DFT total energy: -3.63 eV/atom
energy relative to the elements, uncorrected: -9.85 eV/f.u.
mass density: 6.96 Mg/m³
symmetry: C2/m, No. 12

```
Dy4HgI5
1.0
9.558 -2.114 0.000
9.558 2.114 0.000
-1.866 0.000 8.769
Dy Hg I
4 1 5
direct
0.001 0.001 0.223 Dy
0.346 0.346 0.925 Dy
0.654 0.654 0.075 Dy
0.999 0.999 0.777 Dy
0.500 0.500 0.000 Hg
0.168 0.168 0.336 I
0.173 0.173 0.826 I
0.500 0.500 0.500 I
0.827 0.827 0.174 I
0.832 0.832 0.664 I
```